(1)
Here is a geometry-optimized Ca4PbN4 structure from the Alexandria database. Energies are from PBE-GGA.

Cell and atoms, written as CIF:
```
data_Ca4PbN4
_chemical_formula_sum 'Ca8 Pb2 N8'
_space_group_name_H-M_alt 'P -1'
_space_group_IT_number 2
_space_group_name_Hall '-P 1'
_cell_length_a 6.1905
_cell_length_b 6.2192
_cell_length_c 9.3457
_cell_angle_alpha 71.64
_cell_angle_beta 85.02
_cell_angle_gamma 68.82
loop_
_atom_site_label
_atom_site_type_symbol
_atom_site_fract_x
_atom_site_fract_y
_atom_site_fract_z
Ca1 Ca 0.2288 0.3253 0.2971
Ca2 Ca 0.2391 0.5561 0.9227
Ca3 Ca 0.2458 0.9709 0.0886
Ca4 Ca 0.2487 0.7472 0.5026
Pb1 Pb 0.2236 0.1085 0.7313
N1 N 0.0017 0.9037 0.6981
N2 N 0.0038 0.6969 0.1118
N3 N 0.3499 0.3258 0.5364
N4 N 0.4990 0.7972 0.8942
```

Results
Final energy ... -5.5343 eV per atom
Total magnetization ... 0.000 μB per atom
Uncorrected formation energy ... -0.5326 eV per atom

(2)
Here is a geometry-optimized CaPb4N2 structure from the Alexandria database. Energies are from PBE-GGA.

Cell and atoms, written as CIF:
```
data_CaPb4N2
_chemical_formula_sum 'Ca2 Pb8 N4'
_space_group_name_H-M_alt 'I 4/m m m'
_space_group_IT_number 139
_space_group_name_Hall '-I 4 2'
_cell_length_a 5.8892
_cell_length_b 5.8892
_cell_length_c 13.0605
_cell_angle_alpha 90.00
_cell_angle_beta 90.00
_cell_angle_gamma 90.00
loop_
_atom_site_label
_atom_site_type_symbol
_atom_site_fract_x
_atom_site_fract_y
_atom_site_fract_z
Ca1 Ca 0.0000 0.0000 0.0000
Pb1 Pb 0.0000 0.0000 0.2390
Pb2 Pb 0.0000 0.5000 0.0000
N1 N 0.0000 0.0000 0.3956
```

Results
Final energy ... -3.6058 eV per atom
Total magnetization ... 0.130 μB per atom
Uncorrected formation energy ... 1.1778 eV per atom

(3)
Here is a geometry-optimized Ca9Pb3N2 structure from the Alexandria database. Energies are from PBE-GGA.

Cell and atoms, written as CIF:
```
data_Ca9Pb3N2
_chemical_formula_sum 'Ca9 Pb3 N2'
_space_group_name_H-M_alt 'P -3 m 1'
_space_group_IT_number 164
_space_group_name_Hall '-P 3 2"'
_cell_length_a 7.0575
_cell_length_b 7.0575
_cell_length_c 8.6725
_cell_angle_alpha 90.00
_cell_angle_beta 90.00
_cell_angle_gamma 120.00
loop_
_atom_site_label
_atom_site_type_symbol
_atom_site_fract_x
_atom_site_fract_y
_atom_site_fract_z
Ca1 Ca 0.0000 0.5000 0.0000
Ca2 Ca 0.1756 0.3512 0.6802
Pb1 Pb 0.0000 0.0000 0.0000
Pb2 Pb 0.3333 0.6667 0.3391
N1 N 0.3333 0.6667 0.8331
```

Results
Final energy ... -3.9994 eV per atom
Total magnetization ... 0.069 μB per atom
Uncorrected formation energy ... -0.7287 eV per atom